Entry from Alexandria: a relaxed structure of LuThSn (PBE).

Lattice parameters (Å, degrees): 3.701 3.701 12.809 90.00 90.00 90.00
Space group I4mm (No. 107)
Asymmetric unit:
Lu 0.000 0.000 0.000
Th 0.000 0.000 0.689
Sn 0.000 0.000 0.356

- E_form (eV/atom) = -0.30
- energy (eV/atom) = -5.62
- crystal system = tetragonal
- M_tot (μB per cell) = 0.00
- theoretical density (kg/m³) = 9952